(1)
MnSi2 | GGA-PBE | optimized geometry

Properties
VASP energy, eV/cell: -40.5
ΔE_f (raw), eV per atom: -0.086
N(E_F), states/eV/cell: 3.44
Size of the total moment, μB/cell: 3.18
Calculated volume, Å³ per atom: 12.72

abc: 11.0662 11.0662 11.0662
angles: 166.27 166.27 19.46
Closest atoms and distances in Å follow each position.
Sites, in units of the cell vectors:
Mn 0.3750 0.6250 0.7500  8 Si 2.47, 4 Mn 2.65
Mn 0.6250 0.3750 0.2500  8 Si 2.47, 4 Mn 2.65
Si 0.0507 0.8007 0.2500  4 Mn 2.47, 6 Si 2.58-2.65
Si 0.1993 0.9493 0.2500  4 Mn 2.47, 6 Si 2.58-2.65
Si 0.8007 0.0507 0.7500  4 Mn 2.47, 6 Si 2.58-2.65
Si 0.9493 0.1993 0.7500  4 Mn 2.47, 6 Si 2.58-2.65


(2)
CrFe2NiC | GGA-PBE | optimized geometry

Properties
VASP energy, eV/cell: -40.7
N(E_F), states/eV/cell: 7.01
Size of the total moment, μB/cell: 6.48
ΔE_f, eV per atom: 0.170
Calculated volume, Å³ per atom: 10.94

abc: 3.7548 3.7548 3.8792
angles: 90.00 90.00 90.00
Closest atoms and distances in Å follow each position.
Sites, in units of the cell vectors:
Cr 0.0000 0.0000 0.0000  2 C 1.94
Fe 0.0000 0.5000 0.5000  2 C 1.88
Fe 0.5000 0.0000 0.5000  2 C 1.88
Ni 0.5000 0.5000 0.0000  4 Cr 2.66, 8 Fe 2.70
C 0.0000 0.0000 0.5000  4 Fe 1.88, 2 Cr 1.94


(3)
Th3Mn5N12 | GGA-PBE | optimized geometry

Properties
VASP energy, eV/cell: -724.8
ΔE_f (raw), eV per atom: -0.659
N(E_F), states/eV/cell: 33.55
Size of the total moment, μB/cell: 5.71
Calculated volume, Å³ per atom: 12.04

abc: 10.7767 10.7767 10.7767
angles: 109.47 109.47 109.47
Closest atoms and distances in Å follow each position.
Sites, in units of the cell vectors:
Th 0.1250 0.2500 0.3750  8 N 2.40-2.62
Th 0.1250 0.3750 0.7500  8 N 2.40-2.62
Th 0.2500 0.3750 0.1250  8 N 2.40-2.62
Th 0.2500 0.8750 0.6250  8 N 2.40-2.62
Th 0.3750 0.1250 0.2500  8 N 2.40-2.62
Th 0.3750 0.7500 0.1250  8 N 2.40-2.62
Th 0.6250 0.2500 0.8750  8 N 2.40-2.62
Th 0.6250 0.8750 0.7500  8 N 2.40-2.62
Th 0.7500 0.1250 0.3750  8 N 2.40-2.62
Th 0.7500 0.6250 0.8750  8 N 2.40-2.62
Th 0.8750 0.6250 0.2500  8 N 2.40-2.62
Th 0.8750 0.7500 0.6250  8 N 2.40-2.62
Mn 0.0000 0.0000 0.0000  6 N 2.00
Mn 0.0000 0.0000 0.5000  6 N 2.00
Mn 0.0000 0.5000 0.0000  6 N 2.00
Mn 0.0000 0.5000 0.5000  6 N 2.00
Mn 0.1250 0.7500 0.8750  4 N 1.76
Mn 0.1250 0.8750 0.2500  4 N 1.76
Mn 0.2500 0.1250 0.8750  4 N 1.76
Mn 0.2500 0.6250 0.3750  4 N 1.76
Mn 0.3750 0.2500 0.6250  4 N 1.76
Mn 0.3750 0.6250 0.7500  4 N 1.76
Mn 0.5000 0.0000 0.0000  6 N 2.00
Mn 0.5000 0.0000 0.5000  6 N 2.00
Mn 0.5000 0.5000 0.0000  6 N 2.00
Mn 0.5000 0.5000 0.5000  6 N 2.00
Mn 0.6250 0.3750 0.2500  4 N 1.76
Mn 0.6250 0.7500 0.3750  4 N 1.76
Mn 0.7500 0.3750 0.6250  4 N 1.76
Mn 0.7500 0.8750 0.1250  4 N 1.76
Mn 0.8750 0.1250 0.7500  4 N 1.76
Mn 0.8750 0.2500 0.1250  4 N 1.76
N 0.0096 0.1951 0.1160  1 Mn 1.76
N 0.0096 0.3144 0.8935  1 Mn 1.76
N 0.0791 0.6951 0.6856  1 Mn 1.76
N 0.0791 0.8840 0.3935  1 Mn 1.76
N 0.1065 0.6160 0.4209  1 Mn 1.76
N 0.1065 0.9904 0.6856  1 Mn 1.76
N 0.1160 0.0096 0.1951  1 Mn 1.76
N 0.1160 0.6065 0.9209  1 Mn 1.76
N 0.1856 0.1951 0.5791  1 Mn 1.76
N 0.1856 0.4904 0.6065  1 Mn 1.76
N 0.1951 0.1160 0.0096  1 Mn 1.76
N 0.1951 0.5791 0.1856  1 Mn 1.76
N 0.3049 0.3144 0.9209  1 Mn 1.76
N 0.3049 0.4904 0.3840  1 Mn 1.76
N 0.3144 0.8935 0.0096  1 Mn 1.76
N 0.3144 0.9209 0.3049  1 Mn 1.76
N 0.3840 0.3049 0.4904  1 Mn 1.76
N 0.3840 0.5791 0.8935  1 Mn 1.76
N 0.3935 0.0791 0.8840  1 Mn 1.76
N 0.3935 0.8144 0.5096  1 Mn 1.76
N 0.4209 0.1065 0.6160  1 Mn 1.76
N 0.4209 0.8144 0.8049  1 Mn 1.76
N 0.4904 0.3840 0.3049  1 Mn 1.76
N 0.4904 0.6065 0.1856  1 Mn 1.76
N 0.5096 0.3935 0.8144  1 Mn 1.76
N 0.5096 0.6160 0.6951  1 Mn 1.76
N 0.5791 0.1856 0.1951  1 Mn 1.76
N 0.5791 0.8935 0.3840  1 Mn 1.76
N 0.6065 0.1856 0.4904  1 Mn 1.76
N 0.6065 0.9209 0.1160  1 Mn 1.76
N 0.6160 0.4209 0.1065  1 Mn 1.76
N 0.6160 0.6951 0.5096  1 Mn 1.76
N 0.6856 0.0791 0.6951  1 Mn 1.76
N 0.6856 0.1065 0.9904  1 Mn 1.76
N 0.6951 0.5096 0.6160  1 Mn 1.76
N 0.6951 0.6856 0.0791  1 Mn 1.76
N 0.8049 0.4209 0.8144  1 Mn 1.76
N 0.8049 0.8840 0.9904  1 Mn 1.76
N 0.8144 0.5096 0.3935  1 Mn 1.76
N 0.8144 0.8049 0.4209  1 Mn 1.76
N 0.8840 0.3935 0.0791  1 Mn 1.76
N 0.8840 0.9904 0.8049  1 Mn 1.76
N 0.8935 0.0096 0.3144  1 Mn 1.76
N 0.8935 0.3840 0.5791  1 Mn 1.76
N 0.9209 0.1160 0.6065  1 Mn 1.76
N 0.9209 0.3049 0.3144  1 Mn 1.76
N 0.9904 0.6856 0.1065  1 Mn 1.76
N 0.9904 0.8049 0.8840  1 Mn 1.76